# Ca2TiFeSn, relaxed, DFT PBE-GGA
# energy	-4.2937	eV/atom
# total magnetic moment	0.000	μB/atom
data_Ca2TiFeSn
_chemical_formula_sum 'Ca2 Ti1 Fe1 Sn1'
_cell_length_a 5.755
_cell_length_b 5.755
_cell_length_c 4.085
_cell_angle_alpha 90.00
_cell_angle_beta 90.00
_cell_angle_gamma 90.00
_space_group_name_H-M_alt 'P 1'
_space_group_IT_number 1
_space_group_name_Hall 'P 1'
loop_
_atom_site_label
_atom_site_fract_x
_atom_site_fract_y
_atom_site_fract_z
Ca1 0.000 0.500 0.000
Ca2 0.500 0.000 0.000
Ti1 0.000 0.000 0.000
Fe1 0.000 0.000 0.500
Sn1 0.500 0.500 0.500

---

# Pm2EuRh, relaxed, DFT PBE-GGA
# energy	-7.0921	eV/atom
# total magnetic moment	1.911	μB/atom
# energy above the most stable polymorph in this dataset	0	meV/atom
data_Pm2EuRh
_chemical_formula_sum 'Pm2 Eu1 Rh1'
_cell_length_a 3.593
_cell_length_b 3.593
_cell_length_c 9.395
_cell_angle_alpha 90.00
_cell_angle_beta 90.00
_cell_angle_gamma 90.00
_space_group_name_H-M_alt 'P 1'
_space_group_IT_number 1
_space_group_name_Hall 'P 1'
loop_
_atom_site_label
_atom_site_fract_x
_atom_site_fract_y
_atom_site_fract_z
Pm1 0.000 0.000 0.176
Pm2 0.000 0.000 0.824
Eu1 0.500 0.500 0.500
Rh1 0.500 0.500 0.000

---

DOS at the Fermi energy: 0.806, 0.982 (states/eV/atom)